1.
Below is crystalline CaAuSe2 at its relaxed geometry, with properties calculated at the GGA-PBE level.

Lattice parameters (Å, degrees): 4.4329 4.4329 6.2218 78.29 78.29 68.31
Fractional positions:
Ca1 0.2500 0.2500 0.2500
Au1 0.7500 0.7500 0.7500
Se1 0.9216 0.9216 0.0377
Se2 0.5784 0.5784 0.4623

Properties
Magnetization: 0.00 μB/atom
Crystal system: monoclinic
DOS(E_F): 2.6 states/eV/cell
Relative energy among the computed polymorphs: 109 meV/atom
ΔE_f (raw): -3.19 eV/f.u.


2.
Below is crystalline Tb2ErRh at its relaxed geometry, with properties calculated at the GGA-PBE level.

Lattice parameters (Å, degrees): 3.5137 3.5137 8.5468 90.00 90.00 90.00
Fractional positions:
Rh1 0.5000 0.5000 0.0000
Tb1 0.0000 0.0000 0.8086
Tb2 0.0000 0.0000 0.1914
Er1 0.5000 0.5000 0.5000

Properties
Magnetization: 0.00 μB/atom
Calculated formation energy: -0.375 eV/atom
Crystal system: tetragonal
DOS(E_F): 5.4 states/eV/cell
Relative energy among the computed polymorphs: 151 meV/atom


3.
Below is crystalline Ta2CoAs at its relaxed geometry, with properties calculated at the GGA-PBE level.

Lattice parameters (Å, degrees): 4.4626 4.4626 4.4626 60.00 60.00 60.00
Last column: magnetic moment on the atom in μB.
Fractional positions:
As1 0.5000 0.5000 0.5000  0.00
Co1 0.7500 0.7500 0.7500  0.35
Ta1 0.0000 0.0000 0.0000  0.00
Ta2 0.2500 0.2500 0.2500  0.02

Properties
Magnetization: 0.09 μB/atom
Calculated formation energy: 0.311 eV/atom
Crystal system: cubic
DOS(E_F): 5.4 states/eV/cell


4.
Below is crystalline CoNiTe4 at its relaxed geometry, with properties calculated at the GGA-PBE level.

Lattice parameters (Å, degrees): 6.3636 6.3601 6.3754 89.12 90.00 90.00
Fractional positions:
Co1 0.0000 0.5000 0.5000
Co2 0.5000 0.0000 0.5000
Ni1 0.0000 0.0000 0.0000
Ni2 0.5000 0.5000 0.0000
Te1 0.6317 0.1303 0.1387
Te2 0.1317 0.3697 0.8613
Te3 0.3626 0.6390 0.3705
Te4 0.8626 0.8610 0.6295
Te5 0.3683 0.8697 0.8613
Te6 0.8683 0.6303 0.1387
Te7 0.6374 0.3610 0.6295
Te8 0.1374 0.1390 0.3705

Properties
Magnetization: 0.00 μB/atom
Crystal system: monoclinic
DOS(E_F): 6.8 states/eV/cell
Relative energy among the computed polymorphs: 47 meV/atom
ΔE_f (raw): -1.03 eV/f.u.


5.
Below is crystalline AcPmPr2Tm4 at its relaxed geometry, with properties calculated at the GGA-PBE level.

Lattice parameters (Å, degrees): 9.6510 9.6510 11.9964 128.42 128.42 88.39
Fractional positions:
Ac1 0.0000 0.5000 0.0000
Ac2 0.0000 0.5000 0.5000
Pm1 0.5000 0.5000 0.5000
Pm2 0.0000 0.0000 0.0000
Pr1 0.5000 0.0000 0.0000
Pr2 0.5000 0.0000 0.5000
Pr3 0.0000 0.0000 0.5000
Pr4 0.5000 0.5000 0.0000
Tm1 0.2603 0.7640 0.0122
Tm2 0.7360 0.2397 0.4878
Tm3 0.2640 0.7603 0.5122
Tm4 0.7397 0.2360 0.9878
Tm5 0.7415 0.7579 0.9974
Tm6 0.7421 0.7585 0.5026
Tm7 0.2579 0.2415 0.4974
Tm8 0.2585 0.2421 0.0026

Properties
Magnetization: 0.00 μB/atom
Calculated formation energy: 0.422 eV/atom
Crystal system: orthorhombic
DOS(E_F): 36.5 states/eV/cell


6.
Below is crystalline Sm8NiRh5 at its relaxed geometry, with properties calculated at the GGA-PBE level.

Lattice parameters (Å, degrees): 7.5867 7.5867 7.5867 109.57 109.28 109.57
Fractional positions:
Sm1 0.1252 0.7485 0.9946
Sm2 0.0054 0.1305 0.7538
Sm3 0.7425 0.2491 0.3727
Sm4 0.6273 0.3698 0.8764
Sm5 0.5066 0.6302 0.2575
Sm6 0.6233 0.8695 0.8748
Sm7 0.2462 0.2515 0.3767
Sm8 0.1236 0.7509 0.4934
Ni1 0.2500 0.5000 0.7500
Rh1 0.0029 0.3758 0.1245
Rh2 0.8755 0.8784 0.2513
Rh3 0.7487 0.6242 0.6271
Rh4 0.5000 0.0000 0.5000
Rh5 0.3729 0.1216 0.9971

Properties
Magnetization: 0.00 μB/atom
Calculated formation energy: -0.612 eV/atom
Crystal system: tetragonal
DOS(E_F): 9.3 states/eV/cell


7.
Below is crystalline Np3Sb2H4Pd2 at its relaxed geometry, with properties calculated at the GGA-PBE level.

Lattice parameters (Å, degrees): 4.0189 4.0189 10.9654 100.56 100.56 90.00
Last column: magnetic moment on the atom in μB.
Fractional positions:
Np1 0.0000 0.0000 0.0000  4.09
Np2 0.1408 0.1408 0.2816  3.81
Np3 0.8592 0.8592 0.7184  3.81
Sb1 0.2978 0.2978 0.5956  -0.09
Sb2 0.7022 0.7022 0.4044  -0.09
H1 0.4304 0.9304 0.8608  -0.01
H2 0.9304 0.4304 0.8608  -0.01
H3 0.0696 0.5696 0.1392  -0.01
H4 0.5696 0.0696 0.1392  -0.01
Pd1 0.4322 0.4322 0.8644  0.02
Pd2 0.5678 0.5678 0.1356  0.02

Properties
Magnetization: 1.10 μB/atom
Crystal system: tetragonal
DOS(E_F): 22.0 states/eV/cell
Electronic total energy: -6.62 eV per atom


8.
Below is crystalline As3C at its relaxed geometry, with properties calculated at the GGA-PBE level.

Lattice parameters (Å, degrees): 5.6831 5.6831 5.6831 149.94 131.25 58.34
Fractional positions:
As1 0.6551 0.6551 0.0000
As2 0.3449 0.3449 0.0000
As3 0.0000 0.5000 0.5000
C1 0.5000 0.0000 0.5000

Properties
Magnetization: 0.00 μB/atom
Calculated formation energy: 1.111 eV/atom
Crystal system: orthorhombic
DOS(E_F): 2.2 states/eV/cell
Relative energy among the computed polymorphs: 570 meV/atom